No. 1
Fe2GePb (PBE, relaxed); excess energy over the best structure of this formula in the dataset = 33 meV per atom; energy of formation = 0.57 eV/atom; DOS at the Fermi energy = 1.2 states/eV per cell; total moment = 0.00 μB per cell
1.0
0.000 3.088 3.088
3.088 0.000 3.088
3.088 3.088 0.000
Fe Pb Ge
2 1 1
Direct
0.250 0.250 0.250 Fe
0.750 0.750 0.750 Fe
0.500 0.500 0.500 Pb
0.000 0.000 0.000 Ge

No. 2
Eu2CuH4S2O12 (PBE, relaxed); raw total energy = -0.490 Ry per atom; DOS at the Fermi energy = 60.2 states/eV per cell; total moment = 26.06 μB per cell
1.0
7.007 0.000 0.000
0.000 6.469 -0.016
0.000 1.566 10.794
O H Eu Cu S
24 8 4 2 4
Direct
0.292 0.760 0.737 O
0.848 0.396 0.436 O
0.430 0.447 0.675 O
0.961 0.214 0.953 O
0.539 0.214 0.453 O
0.174 0.093 0.374 O
0.860 0.868 0.384 O
0.070 0.447 0.175 O
0.140 0.132 0.616 O
0.208 0.760 0.237 O
0.792 0.240 0.763 O
0.039 0.786 0.047 O
0.674 0.907 0.126 O
0.326 0.093 0.874 O
0.708 0.240 0.263 O
0.461 0.786 0.547 O
0.930 0.553 0.825 O
0.360 0.132 0.116 O
0.348 0.604 0.064 O
0.826 0.907 0.626 O
0.152 0.604 0.564 O
0.640 0.868 0.884 O
0.570 0.553 0.325 O
0.652 0.396 0.936 O
0.897 0.719 0.401 H
0.397 0.281 0.099 H
0.103 0.281 0.599 H
0.218 0.228 0.393 H
0.603 0.719 0.901 H
0.282 0.228 0.893 H
0.718 0.772 0.107 H
0.782 0.772 0.607 H
0.496 0.916 0.323 Eu
0.504 0.084 0.677 Eu
0.996 0.084 0.177 Eu
0.004 0.916 0.823 Eu
0.000 0.000 0.500 Cu
0.500 0.000 0.000 Cu
0.328 0.641 0.630 S
0.828 0.359 0.870 S
0.672 0.359 0.370 S
0.172 0.641 0.130 S

No. 3
ZrVCo3 (PBE, relaxed); excess energy over the best structure of this formula in the dataset = 604 meV per atom; energy of formation = 0.50 eV/atom; DOS at the Fermi energy = 6.9 states/eV per cell; total moment = 0.00 μB per cell
1.0
4.222 0.000 0.000
0.000 4.222 0.000
0.000 0.000 4.222
Co Zr V
3 1 1
Direct
0.000 0.500 0.000 Co
0.000 0.000 0.500 Co
0.500 0.000 0.000 Co
0.500 0.500 0.500 Zr
0.000 0.000 0.000 V

No. 4
Mg2ZrPb (PBE, relaxed); energy of formation = 0.00 eV/atom; DOS at the Fermi energy = 3.5 states/eV per cell; total moment = 0.00 μB per cell
1.0
5.807 -0.005 0.000
-2.598 5.193 0.000
0.000 0.000 3.172
Mg Pb Zr
2 1 1
Direct
0.000 0.000 0.000 Mg
0.500 0.500 0.000 Mg
0.500 0.000 0.500 Pb
0.000 0.500 0.500 Zr

No. 5
Na3CuPd (PBE, relaxed); excess energy over the best structure of this formula in the dataset = 84 meV per atom; energy of formation = 0.49 eV/atom; DOS at the Fermi energy = 0.6 states/eV per cell; total moment = 0.00 μB per cell
1.0
5.220 0.000 0.000
0.000 5.220 0.000
0.000 0.000 5.220
Na Pd Cu
3 1 1
Direct
0.500 0.000 0.000 Na
0.000 0.500 0.000 Na
0.000 0.000 0.500 Na
0.500 0.500 0.500 Pd
0.000 0.000 0.000 Cu

No. 6
Li3Hg2Pd5 (PBE, relaxed); energy of formation = -0.18 eV/atom; DOS at the Fermi energy = 9.1 states/eV per cell; total moment = 0.00 μB per cell
1.0
5.362 0.000 0.000
2.681 7.765 -1.271
2.681 -0.058 7.869
Hg Pd Li
4 10 6
Direct
0.365 0.827 0.444 Hg
0.135 0.556 0.173 Hg
0.635 0.173 0.556 Hg
0.865 0.444 0.827 Hg
0.250 0.500 0.500 Pd
0.078 0.085 0.759 Pd
0.983 0.767 0.767 Pd
0.017 0.233 0.233 Pd
0.922 0.915 0.241 Pd
0.483 0.767 0.767 Pd
0.517 0.233 0.233 Pd
0.578 0.759 0.085 Pd
0.422 0.241 0.915 Pd
0.750 0.500 0.500 Pd
0.845 0.800 0.510 Li
0.655 0.490 0.200 Li
0.250 0.000 0.000 Li
0.345 0.510 0.800 Li
0.750 0.000 0.000 Li
0.155 0.200 0.490 Li

No. 7
Nd7Sm4Dy (PBE, relaxed); excess energy over the best structure of this formula in the dataset = 0 meV per atom; energy of formation = 0.01 eV/atom; DOS at the Fermi energy = 17.4 states/eV per cell; total moment = 0.00 μB per cell
1.0
7.048 1.879 0.921
5.262 7.781 2.533
-1.052 -0.475 9.040
Nd Sm Dy
7 4 1
Direct
0.750 0.500 0.001 Nd
0.250 0.500 0.999 Nd
0.500 0.000 0.000 Nd
0.779 0.221 0.332 Nd
0.971 0.279 0.668 Nd
0.029 0.721 0.332 Nd
0.221 0.779 0.668 Nd
0.721 0.779 0.667 Sm
0.472 0.278 0.669 Sm
0.528 0.722 0.331 Sm
0.279 0.221 0.333 Sm
0.000 0.000 0.000 Dy

No. 8
NbPdBr2 (PBE, relaxed); excess energy over the best structure of this formula in the dataset = 470 meV per atom; DOS at the Fermi energy = 2.3 states/eV per cell; formation energy from raw total energies = 370 meV/atom; total moment = 5.90 μB per cell
1.0
-5.011 -4.147 -0.366
1.172 -1.955 6.103
-5.009 0.529 4.609
Pd Nb Br
2 2 4
Direct
0.750 0.250 0.500 Pd
0.000 0.000 0.000 Pd
0.500 0.500 0.000 Nb
0.250 0.750 0.500 Nb
0.123 0.625 0.250 Br
0.875 0.877 0.750 Br
0.627 0.125 0.250 Br
0.375 0.373 0.750 Br

No. 9
Sn2HgRh2 (PBE, relaxed); excess energy over the best structure of this formula in the dataset = 0 meV per atom; energy of formation = -0.29 eV/atom; DOS at the Fermi energy = 1.4 states/eV per cell; total moment = 0.00 μB per cell
1.0
7.503 0.000 0.000
0.000 7.503 0.000
0.000 0.000 3.360
Sn Hg Rh
4 2 4
Direct
0.150 0.650 0.500 Sn
0.850 0.350 0.500 Sn
0.650 0.850 0.500 Sn
0.350 0.150 0.500 Sn
0.500 0.500 0.000 Hg
0.000 0.000 0.000 Hg
0.354 0.854 0.000 Rh
0.854 0.646 0.000 Rh
0.646 0.146 0.000 Rh
0.146 0.354 0.000 Rh

No. 10
PrErGaPb (PBE, relaxed); energy of formation = -0.43 eV/atom; DOS at the Fermi energy = 2.6 states/eV per cell; total moment = 0.00 μB per cell
1.0
5.354 0.000 0.000
2.677 4.637 0.000
2.677 1.546 4.371
Pr Er Pb Ga
1 1 1 1
Direct
0.250 0.250 0.250 Pr
0.750 0.750 0.750 Er
0.500 0.500 0.500 Pb
0.000 0.000 0.000 Ga

No. 11
NdAg5 (PBE, relaxed); energy of formation = -0.04 eV/atom; DOS at the Fermi energy = 3.2 states/eV per cell; total moment = 0.00 μB per cell
1.0
4.603 0.000 0.000
0.000 4.736 0.000
0.000 -2.368 5.759
Ag Nd
5 1
Direct
0.500 0.820 0.640 Ag
0.500 0.180 0.360 Ag
0.500 0.500 0.000 Ag
0.000 0.674 0.349 Ag
0.000 0.326 0.651 Ag
0.000 0.000 0.000 Nd

No. 12
CdPbW (PBE, relaxed); excess energy over the best structure of this formula in the dataset = 36 meV per atom; energy of formation = 0.80 eV/atom; DOS at the Fermi energy = 1.9 states/eV per cell; total moment = 0.00 μB per cell
1.0
3.108 0.000 0.000
-1.554 2.692 0.000
0.000 0.000 7.781
Pb Cd W
1 1 1
Direct
0.333 0.667 0.353 Pb
0.000 0.000 0.972 Cd
0.667 0.333 0.674 W

Among the records above, which one has the highest DOS at the Fermi energy? Eu2CuH4S2O12